Entry 1:
DFT (PBE) results for an optimized crystal structure of KBa3Sr2.

```
6
Lattice="4.378 0.000 0.000 0.000 4.378 0.000 0.000 0.000 19.641" Properties=species:S:1:pos:R:3 pbc="T T T"
Ba 0.000 0.000 6.288
Ba 0.000 0.000 0.000
Ba 0.000 0.000 13.352
Sr 2.189 2.189 16.505
Sr 2.189 2.189 3.135
K 2.189 2.189 9.820
```

Its space-group type is P4/mmm (123). The electronic total energy is -0.1221 Ry/atom.

Entry 2:
DFT (PBE) results for an optimized crystal structure of KBaSr2.

```
4
Lattice="7.034 0.000 0.000 0.000 4.244 0.012 0.000 1.378 8.100" Properties=species:S:1:pos:R:3 pbc="T T T"
Ba 3.517 1.405 2.028
K 3.517 4.216 6.085
Sr 0.000 4.092 0.049
Sr 0.000 2.963 4.020
```

Its space-group type is P2/m (10). The calculation puts the energy above the most stable polymorph in this dataset at 28.3 meV per atom. The electronic total energy is -0.1115 Ry/atom.

Entry 3:
DFT (PBE) results for an optimized crystal structure of KBa4Sr.

```
6
Lattice="0.000 5.896 5.896 5.896 0.000 5.896 5.896 5.896 0.000" Properties=species:S:1:pos:R:3 pbc="T T T"
Sr 0.000 0.000 0.000
Ba 7.376 4.416 7.376
Ba 4.416 7.376 7.376
Ba 4.416 4.416 4.416
Ba 7.376 7.376 4.416
K 8.844 8.844 8.844
```

Its space-group type is F-43m (216). The electronic total energy is -0.1160 Ry/atom.